Density functional theory data (PBE+U) for a geometry-optimized VAs2IrF structure.

POSCAR file:
```
VAs2IrF
1.0
4.645 0.000 0.000
0.000 4.645 0.000
0.000 0.000 5.347
V As Ir F
1 2 1 1
direct
0.000 0.000 0.000
0.000 0.500 0.500
0.500 0.000 0.500
0.000 0.000 0.500
0.500 0.500 0.000
```

Summary:
As for the total DFT energy (no corrections): -4.941 eV/atom. Its crystal system is tetragonal.